Entry 1:
The following is a DFT calculation (PBE-GGA) of a relaxed PRhAu crystal.

abc: 5.8084 5.8084 5.8084
angles: 90.00 90.00 90.00
Space group F-43m (No. 216)
One atom of each set of equivalent atoms:
P (0.0000, 0.0000, 0.0000) x4
Rh (0.2500, 0.2500, 0.2500) x4
Au (0.2500, 0.2500, 0.7500) x4

Values from the calculation:
Relative energy among the computed polymorphs (eV/f.u.): 0.784
Formation energy from the elements (eV/atom): -0.019

Entry 2:
The following is a DFT calculation (PBE-GGA) of a relaxed MgTe3Pd12 crystal.

abc: 4.0653 4.0653 16.1960
angles: 90.00 90.00 90.00
Space group P4/mmm (No. 123)
One atom of each set of equivalent atoms:
Mg (0.0000, 0.0000, 0.0000) x1
Te (0.0000, 0.0000, 0.2402) x2
Te (0.0000, 0.0000, 0.5000) x1
Pd (0.0000, 0.5000, 0.1208) x4
Pd (0.0000, 0.5000, 0.3732) x4
Pd (0.5000, 0.5000, 0.0000) x1
Pd (0.5000, 0.5000, 0.2498) x2
Pd (0.5000, 0.5000, 0.5000) x1

Values from the calculation:
E_form (uncorrected) (meV/atom): -261

Entry 3:
The following is a DFT calculation (PBE-GGA) of a relaxed Tl3ReSn crystal.

abc: 5.3635 5.3635 5.3635
angles: 90.00 90.00 90.00
Space group Pm-3m (No. 221)
One atom of each set of equivalent atoms:
Tl (0.0000, 0.0000, 0.5000) x3
Re (0.0000, 0.0000, 0.0000) x1
Sn (0.5000, 0.5000, 0.5000) x1

Values from the calculation:
Relative energy among the computed polymorphs (eV/f.u.): 0.000
Formation energy from the elements (eV/atom): 0.813

Entry 4:
The following is a DFT calculation (PBE-GGA) of a relaxed BaCaMn3 crystal.

abc: 5.4870 5.4870 5.4870
angles: 90.00 90.00 90.00
Space group Pm-3m (No. 221)
One atom of each set of equivalent atoms:
Ba (0.0000, 0.0000, 0.0000) x1
Ca (0.5000, 0.5000, 0.5000) x1
Mn (0.0000, 0.0000, 0.5000) x3

Values from the calculation:
Relative energy among the computed polymorphs (eV/f.u.): 1.610
Formation energy from the elements (eV/atom): 1.518

Entry 5:
The following is a DFT calculation (PBE-GGA) of a relaxed CeErRh2 crystal.

abc: 5.6539 5.5215 11.7318
angles: 90.00 108.55 90.00
Space group P2/c (No. 13)
One atom of each set of equivalent atoms:
Ce (0.0808, 0.2498, 0.1112) x4
Er (0.4439, 0.2494, 0.8925) x4
Rh (0.0798, 0.2505, 0.6455) x4
Rh (0.3887, 0.2508, 0.3473) x4

Values from the calculation:
Formation energy from the elements (eV/atom): -0.733

Entry 6:
The following is a DFT calculation (PBE-GGA) of a relaxed TmLu3Mn crystal.

abc: 5.1668 5.1668 5.1668
angles: 90.00 90.00 90.00
Space group Pm-3m (No. 221)
One atom of each set of equivalent atoms:
Tm (0.0000, 0.0000, 0.0000) x1
Lu (0.0000, 0.5000, 0.5000) x3
Mn (0.5000, 0.5000, 0.5000) x1

Values from the calculation:
Formation energy from the elements (eV/atom): 0.221

Entry 7:
The following is a DFT calculation (PBE-GGA) of a relaxed Fe2Mo crystal.

abc: 9.7063 2.5683 6.3068
angles: 90.00 103.87 90.00
Space group Cm (No. 8)
One atom of each set of equivalent atoms:
Fe (0.0000, 0.0000, 0.0000) x2
Fe (0.0700, 0.0000, 0.6240) x2
Fe (0.1708, 0.5000, 0.3539) x2
Fe (0.3431, 0.0000, 0.6746) x2
Mo (0.2229, 0.5000, 0.9503) x2
Mo (0.4043, 0.0000, 0.3090) x2

Values from the calculation:
Formation energy from the elements (eV/atom): 0.213

Entry 8:
The following is a DFT calculation (PBE-GGA) of a relaxed CdAg2P crystal.

abc: 3.1319 4.6586 5.4867
angles: 90.00 103.78 90.00
Space group Pm (No. 6)
One atom of each set of equivalent atoms:
Cd (0.0000, 0.0000, 0.0000) x1
Ag (0.3053, 0.0000, 0.5373) x1
Ag (0.8609, 0.5000, 0.6763) x1
P (0.1769, 0.5000, 0.2643) x1

Values from the calculation:
Relative energy among the computed polymorphs (eV/f.u.): 0.186
Formation energy from the elements (eV/atom): 0.200

Entry 9:
The following is a DFT calculation (PBE-GGA) of a relaxed UMnNbV crystal.

abc: 6.3580 6.3580 6.3580
angles: 90.00 90.00 90.00
Space group F-43m (No. 216)
One atom of each set of equivalent atoms:
U (0.0000, 0.0000, 0.0000) x4
Mn (0.2500, 0.2500, 0.7500) x4
Nb (0.0000, 0.0000, 0.5000) x4
V (0.2500, 0.2500, 0.2500) x4

Values from the calculation:
Formation energy from the elements (eV/atom): 0.189

Entry 10:
The following is a DFT calculation (PBE-GGA) of a relaxed Ba2LiNi crystal.

abc: 8.9997 8.9997 7.4699
angles: 90.00 90.00 90.00
Space group I-42d (No. 122)
One atom of each set of equivalent atoms:
Ba (0.1845, 0.2500, 0.1250) x8
Li (0.0000, 0.0000, 0.5000) x4
Ni (0.0000, 0.0000, 0.0000) x4

Values from the calculation:
Formation energy from the elements (eV/atom): 0.289

Entry 11:
The following is a DFT calculation (PBE-GGA) of a relaxed Rb2LiZn2 crystal.

abc: 7.1118 7.1118 8.1462
angles: 90.00 90.00 90.00
Space group I4/mmm (No. 139)
One atom of each set of equivalent atoms:
Rb (0.0000, 0.5000, 0.2500) x4
Li (0.0000, 0.0000, 0.0000) x2
Zn (0.0000, 0.0000, 0.3430) x4

Values from the calculation:
Relative energy among the computed polymorphs (eV/f.u.): 0.163
Formation energy from the elements (eV/atom): 0.215

Entry 12:
The following is a DFT calculation (PBE-GGA) of a relaxed HoTm8Hg2 crystal.

abc: 8.7788 14.6090 5.4224
angles: 90.00 110.23 90.00
Space group C2/m (No. 12)
One atom of each set of equivalent atoms:
Ho (0.0000, 0.0000, 0.0000) x2
Tm (0.0000, 0.2251, 0.0000) x4
Tm (0.1042, 0.5000, 0.7999) x4
Tm (0.2053, 0.1149, 0.6070) x8
Hg (0.0000, 0.3076, 0.5000) x4

Values from the calculation:
Formation energy from the elements (eV/atom): -0.040

Which formula does entry 7 have?
Fe2Mo

Please write out number 8 again, unchanged.
The following is a DFT calculation (PBE-GGA) of a relaxed CdAg2P crystal.

abc: 3.1319 4.6586 5.4867
angles: 90.00 103.78 90.00
Space group Pm (No. 6)
One atom of each set of equivalent atoms:
Cd (0.0000, 0.0000, 0.0000) x1
Ag (0.3053, 0.0000, 0.5373) x1
Ag (0.8609, 0.5000, 0.6763) x1
P (0.1769, 0.5000, 0.2643) x1

Values from the calculation:
Relative energy among the computed polymorphs (eV/f.u.): 0.186
Formation energy from the elements (eV/atom): 0.200